No. 1
First-principles (PBE-GGA) data for a geometry-optimized La2Dy2Tm3 structure, as listed in the Alexandria database.

a b c (Å): 5.715 3.468 11.970
angles (deg): 90.00 103.77 90.00
Space group P2/m (No. 10)
One atom of each set of equivalent atoms:
La (0.147, 0.000, 0.294) x2
Dy (0.428, 0.500, 0.856) x2
Tm (0.000, 0.500, 0.000) x1
Tm (0.286, 0.500, 0.573) x2

Summary:
As for the offset from the most stable computed form: 0.0 meV per atom.

No. 2
First-principles (PBE-GGA) data for a geometry-optimized La6Dy4Tm structure, as listed in the Alexandria database.

a b c (Å): 5.929 9.834 26.201
angles (deg): 90.00 90.00 90.00
Space group Cmcm (No. 63)
One atom of each set of equivalent atoms:
La (0.000, 0.000, 0.000) x4
La (0.000, 0.049, 0.250) x4
La (0.000, 0.303, 0.601) x8
La (0.000, 0.374, 0.183) x8
Dy (0.000, 0.040, 0.125) x8
Dy (0.000, 0.347, 0.045) x8
Tm (0.000, 0.291, 0.750) x4

Summary:
As for the calculated total energy: -4.66 eV per atom.

No. 3
First-principles (PBE-GGA) data for a geometry-optimized La2Dy5Tm2 structure, as listed in the Alexandria database.

a b c (Å): 11.759 5.689 9.032
angles (deg): 90.00 103.01 90.00
Space group C2/m (No. 12)
One atom of each set of equivalent atoms:
La (0.044, 0.000, 0.317) x4
Dy (0.000, 0.500, 0.000) x2
Dy (0.124, 0.500, 0.623) x4
Dy (0.232, 0.500, 0.297) x4
Tm (0.188, 0.000, 0.037) x4

Summary:
As for the offset from the most stable computed form: 0.0 meV per atom.

no.,Fermi-level density of states (states/eV per atom)
1,1.4969
2,1.7061
3,1.6485